## Li5Au (PBE-GGA)

Data for crystalline Li5Au at its relaxed geometry.

Relative energy among the computed polymorphs (meV per atom): 0
Energy of formation from the pure elements (eV per formula unit): -1.6
E_tot (eV per atom): -2.401
Crystal system: monoclinic

abc: 8.865 4.193 5.708
angles: 90.00 108.51 90.00
Space group C2/m (No. 12)
Inequivalent atoms, fractional coordinates:
Li (0.000, 0.000, 0.000) [2 per cell]
Li (0.150, 0.500, 0.804) [4 per cell]
Li (0.172, 0.500, 0.345) [4 per cell]
Au (0.000, 0.000, 0.500) [2 per cell]